Below is a relaxed structure of Cr3CuF, with properties calculated at the PBE+U level.

Summary:
Its size of the total moment is 13.76 μB/cell. The distance to the lowest polymorph of the same formula comes out at 0.0 kJ per mole of atoms.

Cell: 4.415 4.415 4.415 Å, 90.00 90.00 90.00°
Last column: magnetic moment on the atom in μB.
Positions (direct):
Cr 0.000 0.500 0.000  4.32
Cr 0.000 0.000 0.500  4.39
Cr 0.500 0.000 0.000  4.02
Cu 0.500 0.500 0.500  0.04
F 0.000 0.000 0.000  0.01